Co2HW: single point on PBEsol structure, SCAN.

a = 3.9019 Å, b = 3.9019 Å, c = 3.9019 Å
α = 60.00°, β = 60.00°, γ = 60.00°
Fractional coordinates of all 4 atoms:
Co 0.2500 0.2500 0.2500
Co 0.7500 0.7500 0.7500
H 0.0000 0.0000 0.0000
W 0.5000 0.5000 0.5000

Summary:
As for the relative energy among the computed polymorphs: 399 meV per atom. The density of states at the Fermi level is 1.80 states/eV/cell. As for the space-group type: Fm-3m (225). For the total moment, the calculation gives 1.1 μB per formula unit.